Compound: YSc2MnP
Source: Alexandria via LeMat-Bulk
Functional: PBE
Structure: optimized geometry

- Energy of formation: 1.090 eV per atom
- DOS at the Fermi energy: 7.05 states/eV/f.u.

a b c (Å): 5.292 5.094 5.292
angles (deg): 90.00 90.00 90.00
Site moments in Bohr magnetons follow the coordinates.
Atoms (fractional coordinates):
P1 0.000 0.500 0.000  0.03
Sc1 0.000 0.000 0.500  -0.08
Mn1 0.500 0.500 0.500  4.33
Y1 0.000 0.000 0.000  -0.02
Sc2 0.500 0.000 0.000  -0.09

Compound: LiHo4TmSe8
Source: Alexandria via LeMat-Bulk
Functional: PBE
Structure: optimized geometry

- DOS at the Fermi energy: 0.00 states/eV/f.u.
- Energy relative to the elements, uncorrected: -1.7778 eV/atom

a b c (Å): 8.323 8.323 8.305
angles (deg): 59.93 59.93 60.00
Atoms (fractional coordinates):
Se1 0.244 0.766 0.747
Ho1 0.625 0.625 0.126
Ho2 0.484 0.005 0.505
Li1 0.375 0.375 0.875
Se2 0.245 0.245 0.265
Ho3 0.005 0.005 0.505
Se3 0.223 0.760 0.256
Ho4 0.005 0.484 0.505
Se4 0.766 0.244 0.747
Se5 0.244 0.244 0.747
Se6 0.758 0.758 0.725
Se7 0.760 0.760 0.256
Se8 0.760 0.223 0.256
Tm1 0.005 0.005 0.984

Question: What is the formula in the first record?
Answer: YSc2MnP